[1]
LaTm2ScSb4 | PBE | optimized geometry

Output
DOS(E_F), states/eV per cell: 2.31
Space-group type: I4/mmm, No. 139
ΔE_f (raw), eV/atom: -1.04

Cell: 6.2095 6.2095 12.3151 Å, 90.00 90.00 90.00°
Closest atoms and distances in Å follow each position.
Atoms (fractional coordinates):
1 La 0.0000 0.0000 0.0000  6 Sb 3.10-3.21
2 La 0.5000 0.5000 0.5000  6 Sb 3.10-3.21
3 Tm 0.0000 0.5000 0.2500  6 Sb 3.08-3.11
4 Tm 0.0000 0.5000 0.7500  6 Sb 3.08-3.11
5 Tm 0.5000 0.0000 0.2500  6 Sb 3.08-3.11
6 Tm 0.5000 0.0000 0.7500  6 Sb 3.08-3.11
7 Sc 0.0000 0.0000 0.5000  6 Sb 2.95-3.10
8 Sc 0.5000 0.5000 0.0000  6 Sb 2.95-3.10
9 Sb 0.0000 0.0000 0.2606  1 Sc 2.95, 4 Tm 3.11, 1 La 3.21
10 Sb 0.0000 0.0000 0.7394  1 Sc 2.95, 4 Tm 3.11, 1 La 3.21
11 Sb 0.0000 0.5000 0.0000  2 Tm 3.08, 2 La 3.10, 2 Sc 3.10
12 Sb 0.0000 0.5000 0.5000  2 Tm 3.08, 2 La 3.10, 2 Sc 3.10
13 Sb 0.5000 0.0000 0.0000  2 Tm 3.08, 2 La 3.10, 2 Sc 3.10
14 Sb 0.5000 0.0000 0.5000  2 Tm 3.08, 2 La 3.10, 2 Sc 3.10
15 Sb 0.5000 0.5000 0.2394  1 Sc 2.95, 4 Tm 3.11, 1 La 3.21
16 Sb 0.5000 0.5000 0.7606  1 Sc 2.95, 4 Tm 3.11, 1 La 3.21

---

[2]
La2YScSb4 | PBE | optimized geometry

Output
DOS(E_F), states/eV per cell: 1.15
Space-group type: P2/m, No. 10
ΔE_f (raw), eV/atom: -1.14

Cell: 7.6842 4.4687 7.7325 Å, 90.00 109.62 90.00°
Closest atoms and distances in Å follow each position.
Atoms (fractional coordinates):
1 La 0.0000 0.0000 0.0000  6 Sb 3.21
2 La 0.0000 0.5000 0.5000  6 Sb 3.27
3 Y 0.5000 0.0000 0.5000  6 Sb 3.10
4 Sc 0.5000 0.5000 0.0000  6 Sb 3.03-3.04
5 Sb 0.2680 0.5000 0.2494  1 Sc 3.03, 2 Y 3.10, 3 La 3.21-3.27
6 Sb 0.2730 0.0000 0.7643  2 Sc 3.04, 1 Y 3.10, 3 La 3.21-3.27
7 Sb 0.7270 0.0000 0.2357  2 Sc 3.04, 1 Y 3.10, 3 La 3.21-3.27
8 Sb 0.7320 0.5000 0.7506  1 Sc 3.03, 2 Y 3.10, 3 La 3.21-3.27

---

[3]
LaSb2Se | PBE | optimized geometry

Output
DOS(E_F), states/eV per cell: 2.57
Space-group type: Amm2, No. 38
ΔE_f (raw), eV/atom: -0.80

Cell: 4.7482 4.2785 11.5744 Å, 90.00 90.00 90.00°
Closest atoms and distances in Å follow each position.
Atoms (fractional coordinates):
1 La 0.0000 0.0000 0.0000  3 Se 3.16-3.46, 6 Sb 3.27-3.33
2 La 0.0000 0.5000 0.5000  3 Se 3.16-3.46, 6 Sb 3.27-3.33
3 Sb 0.5000 0.0000 0.2014  1 Sb 2.79
4 Sb 0.5000 0.0000 0.4421  1 Sb 2.79
5 Sb 0.5000 0.5000 0.7014  1 Sb 2.79
6 Sb 0.5000 0.5000 0.9421  1 Sb 2.79
7 Se 0.0000 0.0000 0.7014  3 La 3.16-3.46, 4 Sb 3.20
8 Se 0.0000 0.5000 0.2014  3 La 3.16-3.46, 4 Sb 3.20

---

[4]
La8Sb5Se | PBE | optimized geometry

Output
DOS(E_F), states/eV per cell: 16.27
Space-group type: I-4, No. 82
ΔE_f (raw), eV/atom: -1.21

Cell: 8.3271 8.3271 8.3271 Å, 109.76 109.76 108.89°
Closest atoms and distances in Å follow each position.
Atoms (fractional coordinates):
1 La 0.1220 0.7401 0.7625  1 Se 3.08, 3 Sb 3.21-3.45
2 La 0.1266 0.2341 0.7499  5 Sb 3.20-3.49, 1 Se 3.49
3 La 0.2599 0.0225 0.3819  1 Se 3.08, 3 Sb 3.21-3.45
4 La 0.4842 0.3766 0.2501  5 Sb 3.20-3.49, 1 Se 3.49
5 La 0.6234 0.8734 0.1076  5 Sb 3.20-3.49, 1 Se 3.49
6 La 0.6406 0.8780 0.6181  1 Se 3.08, 3 Sb 3.21-3.45
7 La 0.7659 0.5158 0.8924  5 Sb 3.20-3.49, 1 Se 3.49
8 La 0.9775 0.3594 0.2375  1 Se 3.08, 3 Sb 3.21-3.45
9 Sb 0.2539 0.6280 0.1329  8 La 3.21-3.49
10 Sb 0.3720 0.5049 0.6259  8 La 3.21-3.49
11 Sb 0.4951 0.1210 0.8671  8 La 3.21-3.49
12 Sb 0.7500 0.2500 0.5000  8 La 3.20-3.50
13 Sb 0.8790 0.7461 0.3741  8 La 3.21-3.49
14 Se 0.0000 0.0000 0.0000  4 La 3.08

---

[5]
La2SbSe5 | PBE | optimized geometry

Output
DOS(E_F), states/eV per cell: 4.96
Space-group type: Cmcm, No. 63
ΔE_f (raw), eV/atom: -1.20

Cell: 7.9275 7.9275 13.8057 Å, 90.00 90.00 137.89°
Closest atoms and distances in Å follow each position.
Atoms (fractional coordinates):
1 La 0.1562 0.8438 0.5717  6 Se 2.96-3.11
2 La 0.1562 0.8438 0.9283  6 Se 2.96-3.11
3 La 0.8438 0.1562 0.0717  6 Se 2.96-3.11
4 La 0.8438 0.1562 0.4283  6 Se 2.96-3.11
5 Sb 0.1628 0.8372 0.2500  6 Se 2.67-2.95
6 Sb 0.8372 0.1628 0.7500  6 Se 2.67-2.95
7 Se 0.0425 0.9575 0.1060  1 Sb 2.67, 2 La 2.97-2.98
8 Se 0.0425 0.9575 0.3940  1 Sb 2.67, 2 La 2.97-2.98
9 Se 0.2845 0.7155 0.7500  2 Sb 2.95, 2 La 3.11
10 Se 0.2927 0.7073 0.0927  1 Sb 2.90, 3 La 2.96-3.04
11 Se 0.2927 0.7073 0.4073  1 Sb 2.90, 3 La 2.96-3.04
12 Se 0.7073 0.2927 0.5927  1 Sb 2.90, 3 La 2.96-3.04
13 Se 0.7073 0.2927 0.9073  1 Sb 2.90, 3 La 2.96-3.04
14 Se 0.7155 0.2845 0.2500  2 Sb 2.95, 2 La 3.11
15 Se 0.9575 0.0425 0.6060  1 Sb 2.67, 2 La 2.97-2.98
16 Se 0.9575 0.0425 0.8940  1 Sb 2.67, 2 La 2.97-2.98

---

[6]
La3SbSe2 | PBE | optimized geometry

Output
DOS(E_F), states/eV per cell: 5.41
Space-group type: Immm, No. 71
ΔE_f (raw), eV/atom: -1.76

Cell: 4.4233 6.2647 13.2550 Å, 90.00 90.00 90.00°
Closest atoms and distances in Å follow each position.
Atoms (fractional coordinates):
1 La 0.0000 0.0000 0.0000  4 Se 3.11, 2 Sb 3.13
2 La 0.0000 0.0000 0.3266  4 Se 3.08-3.13, 2 Sb 3.19
3 La 0.0000 0.0000 0.6734  4 Se 3.08-3.13, 2 Sb 3.19
4 La 0.5000 0.5000 0.1734  4 Se 3.08-3.13, 2 Sb 3.19
5 La 0.5000 0.5000 0.5000  4 Se 3.11, 2 Sb 3.13
6 La 0.5000 0.5000 0.8266  4 Se 3.08-3.13, 2 Sb 3.19
7 Sb 0.0000 0.5000 0.0000  6 La 3.13-3.19
8 Sb 0.5000 0.0000 0.5000  6 La 3.13-3.19
9 Se 0.0000 0.5000 0.3354  6 La 3.08-3.13
10 Se 0.0000 0.5000 0.6646  6 La 3.08-3.13
11 Se 0.5000 0.0000 0.1646  6 La 3.08-3.13
12 Se 0.5000 0.0000 0.8354  6 La 3.08-3.13

---

Q: Look up the ΔE_f (raw) of the first one.
A: -1.04 eV/atom

---

Q: The lowest ΔE_f (raw) belongs to which entry?
A: La3SbSe2

---

Q: Which of these has the highest ΔE_f (raw)?
A: LaSb2Se

---

Q: Which of these has the highest DOS(E_F)?
A: La8Sb5Se